Version one
First-principles (GGA-PBEsol) data for crystalline TlPt2Cl at its relaxed geometry, as listed in Alexandria.

total moment = 0.00 μB per atom
crystal system = tetragonal

```
TlPt2Cl
1.0
3.392 0.000 0.000
0.000 3.392 0.000
0.000 0.000 6.209
Pt Tl Cl
2 1 1
direct
0.000 0.000 0.231 Pt
0.000 0.000 0.769 Pt
0.500 0.500 0.000 Tl
0.500 0.500 0.500 Cl
```

=====

Version two
First-principles (GGA-PBEsol) data for crystalline TlPt2Cl at its relaxed geometry, as listed in Alexandria.

total moment = 0.00 μB per atom
crystal system = orthorhombic

```
TlPt2Cl
1.0
2.979 0.000 0.000
0.000 5.173 0.000
-1.490 -2.586 4.569
Cl Tl Pt
1 1 2
direct
0.000 0.500 0.000 Cl
0.500 0.000 0.000 Tl
0.749 0.749 0.498 Pt
0.251 0.251 0.502 Pt
```

=====

Most stable one: version two, least stable one: version one.

=====

Version one
First-principles (GGA-PBEsol) data for crystalline PtW2Cl at its relaxed geometry, as listed in Alexandria.

total moment = 0.00 μB per atom
crystal system = orthorhombic

```
PtW2Cl
1.0
2.761 0.000 0.000
0.000 4.273 0.000
-1.380 0.000 5.159
W Pt Cl
2 1 1
direct
0.426 0.500 0.853 W
0.081 0.000 0.162 W
0.684 0.500 0.369 Pt
0.319 0.000 0.638 Cl
```

=====

Version two
First-principles (GGA-PBEsol) data for crystalline PtW2Cl at its relaxed geometry, as listed in Alexandria.

total moment = 0.00 μB per atom
crystal system = monoclinic

```
PtW2Cl
1.0
-2.566 -0.449 -0.843
2.602 -2.124 -3.834
0.077 -2.841 4.231
W Pt Cl
2 1 1
direct
0.000 0.000 0.500 W
0.000 0.500 0.000 W
0.500 0.500 0.500 Pt
0.500 0.000 0.000 Cl
```

=====

Most stable one: version one, least stable one: version two.

=====

Version one
First-principles (GGA-PBEsol) data for crystalline YPt2Cl at its relaxed geometry, as listed in Alexandria.

total moment = 0.00 μB per atom
crystal system = monoclinic

```
YPt2Cl
1.0
3.012 -0.001 0.000
-0.042 4.435 0.000
-1.485 -2.217 5.467
Cl Y Pt
1 1 2
direct
0.000 0.500 0.000 Cl
0.500 0.000 0.000 Y
0.500 0.500 0.500 Pt
0.000 0.000 0.500 Pt
```

=====

Version two
First-principles (GGA-PBEsol) data for crystalline YPt2Cl at its relaxed geometry, as listed in Alexandria.

total moment = 0.00 μB per atom
crystal system = trigonal

```
YPt2Cl
1.0
-0.045 0.427 -4.215
-0.711 -3.373 -2.464
-6.367 0.173 -2.044
Cl Y Pt
1 1 2
direct
0.232 0.232 0.303 Cl
0.484 0.484 0.549 Y
0.056 0.056 0.831 Pt
0.728 0.728 0.817 Pt
```

=====

Most stable one: version two, least stable one: version one.

=====

Version one
First-principles (GGA-PBEsol) data for crystalline YPtCl2 at its relaxed geometry, as listed in Alexandria.

total moment = 0.00 μB per atom
crystal system = orthorhombic

```
YPtCl2
1.0
-3.386 0.307 0.881
0.577 -3.094 3.296
2.901 6.068 2.037
Cl Y Pt
2 1 1
direct
0.655 0.655 0.310 Cl
0.345 0.345 0.690 Cl
0.000 0.500 0.000 Y
0.500 0.000 0.000 Pt
```

=====

Version two
First-principles (GGA-PBEsol) data for crystalline YPtCl2 at its relaxed geometry, as listed in Alexandria.

total moment = 0.06 μB per atom
crystal system = trigonal

```
YPtCl2
1.0
3.953 0.000 0.000
1.977 3.424 0.000
1.977 1.141 7.393
Y Pt Cl
1 1 2
direct
0.000 0.000 0.000 Y
0.500 0.500 0.500 Pt
0.115 0.115 0.655 Cl
0.885 0.885 0.345 Cl
```

=====

Most stable one: version one, least stable one: version two.